# PBE-GGA InBiS3, relaxed
# **Total DFT energy (no corrections)**: -4.026 eV per atom
# **M_tot**: 0.0 μB per cell
# **Formation energy without anion corrections**: -0.225 eV/atom
data_InBiS3
_chemical_formula_sum 'In2 Bi2 S6'
_cell_length_a 3.834
_cell_length_b 8.604
_cell_length_c 11.475
_cell_angle_alpha 90.00
_cell_angle_beta 90.00
_cell_angle_gamma 90.00
_symmetry_space_group_name_H-M 'A m m 2'
_symmetry_Int_Tables_number 38
loop_
_symmetry_equiv_pos_as_xyz
'x,y,z'
'-x,-y,z'
'-x,y,z'
'x,-y,z'
'x,y+1/2,z+1/2'
'-x,-y+1/2,z+1/2'
'-x,y+1/2,z+1/2'
'x,-y+1/2,z+1/2'
loop_
_atom_site_label
_atom_site_fract_x
_atom_site_fract_y
_atom_site_fract_z
In1 0.000 0.000 0.000
Bi1 0.500 0.000 0.603
S1 0.000 0.000 0.755
S2 0.500 0.197 0.013